Below is an optimized crystal structure of Er2TmPu, with properties calculated at the PBE-GGA level.

Unit cell a=6.016 b=6.016 c=6.014 alpha=99.55 beta=99.55 gamma=33.15
Fractional positions:
Er: 0.000 0.000 0.000
Er: 0.247 0.247 0.744
Tm: 0.494 0.494 0.488
Pu: 0.747 0.747 0.244

Calculated density in g/cm³: 10.587
SG: No. 8
Formation enthalpy at 0 K in eV/f.u.: 0.3
Total moment in Bohr magnetons per cell: 6.30
Energy relative to the lowest polymorph listed for this composition in eV per atom: 0.0000



Below is an optimized crystal structure of Mg2GaPb, with properties calculated at the PBE-GGA level.

Unit cell a=11.096 b=11.096 c=11.096 alpha=17.10 beta=17.10 gamma=17.10
Fractional positions:
Mg: 0.084 0.084 0.084
Mg: 0.916 0.916 0.916
Ga: 0.000 0.000 0.000
Pb: 0.500 0.500 0.500

Calculated density in g/cm³: 5.247
SG: No. 166
Formation enthalpy at 0 K in eV/f.u.: 0.5
Total moment in Bohr magnetons per cell: 0.00